This record from the Alexandria database describes crystalline Nd2AlHg3 at its relaxed geometry. The functional is PBE-GGA.

Cell: 6.115 6.115 9.209 Å, 104.20 104.20 105.14°
Sites, in units of the cell vectors:
Hg  0.172  0.172  0.344
Hg  0.654  0.174  0.829
Hg  0.828  0.828  0.656
Hg  0.346  0.826  0.171
Hg  0.174  0.654  0.829
Hg  0.826  0.346  0.171
Nd  0.250  0.750  0.500
Nd  0.750  0.250  0.500
Nd  0.240  0.240  0.000
Nd  0.760  0.760  0.000
Al  0.334  0.334  0.667
Al  0.666  0.666  0.333

The calculation puts the formation energy at -0.434 eV/atom. The volume comes out at 25.3 A^3/atom. As for the crystal system: orthorhombic.